The following is a DFT calculation (PBE) of an optimized crystal structure of Li2Ce2O5.

It has space group P-1 (No. 2), with a = 3.7358 Å, b = 5.6601 Å, c = 6.2858 Å, α = 114.04°, β = 91.58° and γ = 106.92°. The distinct sites, in fractional coordinates, are Li at (0.1896, 0.3748, 0.0096), Ce at (0.3924, 0.8188, 0.6720), O at (0.0000, 0.0000, 0.5000), O at (0.2057, 0.4086, 0.3285) and O at (0.3793, 0.7680, 0.0393).

The total magnetization comes out at 0.00 μB per atom.

The following is a DFT calculation (PBE) of an optimized crystal structure of LiCeO2.

It has space group R-3m (No. 166, hexagonal axes), with a = 3.5205 Å, b = 3.5205 Å, c = 15.3636 Å, α = 90.00°, β = 90.00° and γ = 120.00°. The distinct sites, in fractional coordinates, are Li at (0.0000, 0.0000, 0.0000), Ce at (0.0000, 0.0000, 0.5000) and O at (0.0000, 0.0000, 0.2480).

The total magnetization comes out at 0.25 μB per atom.

The following is a DFT calculation (PBE) of an optimized crystal structure of Li5CeO4.

It has space group Pmmn (No. 59, origin choice 2), with a = 6.2649 Å, b = 8.8610 Å, c = 5.2686 Å, α = 90.00°, β = 90.00° and γ = 90.00°. The distinct sites, in fractional coordinates, are Li at (0.0023, 0.0872, 0.1696), Li at (0.2500, 0.2500, 0.5473), Ce at (0.2500, 0.7500, 0.3120), O at (0.0058, 0.7500, 0.5965) and O at (0.2500, 0.5424, 0.0679).

The total magnetization comes out at 0.09 μB per atom.

The following is a DFT calculation (PBE) of an optimized crystal structure of LiCeO2.

It has space group P2_1/c (No. 14), with a = 6.5449 Å, b = 6.1258 Å, c = 6.8562 Å, α = 90.00°, β = 119.84° and γ = 90.00°. The distinct sites, in fractional coordinates, are Li at (0.1815, 0.1598, 0.2754), Ce at (0.2793, 0.6367, 0.2391), O at (0.0611, 0.6106, 0.8328) and O at (0.4698, 0.1947, 0.8593).

The total magnetization comes out at 0.25 μB per atom.

The following is a DFT calculation (PBE) of an optimized crystal structure of LiCe2O.

It has space group R-3m (No. 166, hexagonal axes), with a = 3.3349 Å, b = 3.3349 Å, c = 29.0081 Å, α = 90.00°, β = 90.00° and γ = 120.00°. The distinct sites, in fractional coordinates, are Li at (0.0000, 0.0000, 0.0000), Ce at (0.0000, 0.0000, 0.1147) and O at (0.0000, 0.0000, 0.5000).

The total magnetization comes out at 0.33 μB per atom.

The following is a DFT calculation (PBE) of an optimized crystal structure of Li3CeO3.

It has space group R-3 (No. 148, hexagonal axes), with a = 5.9609 Å, b = 5.9609 Å, c = 16.6512 Å, α = 90.00°, β = 90.00° and γ = 120.00°. The distinct sites, in fractional coordinates, are Li at (0.0229, 0.7237, 0.1259), Ce at (0.0000, 0.0000, 0.3294) and O at (0.0055, 0.6358, 0.9109).

The total magnetization comes out at 0.14 μB per atom.

Short version: formation energy without anion corrections = -2.812, -2.609, -2.052, -2.735, -1.107, -2.279 eV/atom, in the order given.
Short version: density of states at the Fermi level = 0.000, 0.649, 0.420, 1.313, 1.964, 0.519 states/eV/atom, in the order given.